Cd2TcBr: relaxed, PBE.

Results
E_form (uncorrected) ... 0.470 eV per atom
Electronic total energy ... -3.00 eV per atom
Polymorph energy (0 for the lowest one) ... 0.91 eV per formula unit

```
data_Cd2TcBr
_chemical_formula_sum 'Cd2 Tc1 Br1'
_cell_length_a 3.264
_cell_length_b 4.793
_cell_length_c 5.232
_cell_angle_alpha 90.00
_cell_angle_beta 90.14
_cell_angle_gamma 90.00
_symmetry_space_group_name_H-M 'P 1 m 1'
_symmetry_Int_Tables_number 6
loop_
_symmetry_equiv_pos_as_xyz
'x,y,z'
'x,-y,z'
loop_
_atom_site_label
_atom_site_fract_x
_atom_site_fract_y
_atom_site_fract_z
Cd1 0.000 0.000 0.000
Cd2 0.004 0.500 0.683
Tc1 0.503 0.000 0.497
Br1 0.501 0.500 0.229
```

AcHoScAl: relaxed, PBE.

Results
Electronic total energy ... -4.71 eV per atom
DFT formation energy ... -0.022 eV/atom

```
data_AcHoScAl
_chemical_formula_sum 'Ac4 Ho4 Sc4 Al4'
_cell_length_a 7.689
_cell_length_b 7.689
_cell_length_c 7.689
_cell_angle_alpha 90.00
_cell_angle_beta 90.00
_cell_angle_gamma 90.00
_symmetry_space_group_name_H-M 'F -4 3 m'
_symmetry_Int_Tables_number 216
_symmetry_space_group_name_Hall 'F -4 2 3'
loop_
_atom_site_label
_atom_site_fract_x
_atom_site_fract_y
_atom_site_fract_z
Ac1 0.000 0.000 0.000
Ho1 0.000 0.000 0.500
Sc1 0.250 0.250 0.750
Al1 0.250 0.250 0.250
```

BaLi3Zn3: relaxed, PBE.

Results
Electronic total energy ... -1.55 eV per atom
Polymorph energy (0 for the lowest one) ... 1.24 eV per formula unit
DFT formation energy ... 0.087 eV/atom

```
data_BaLi3Zn3
_chemical_formula_sum 'Ba2 Li6 Zn6'
_cell_length_a 7.062
_cell_length_b 7.062
_cell_length_c 7.062
_cell_angle_alpha 90.00
_cell_angle_beta 90.00
_cell_angle_gamma 90.00
_symmetry_space_group_name_H-M 'P m -3 n'
_symmetry_Int_Tables_number 223
_symmetry_space_group_name_Hall '-P 4n 2 3'
loop_
_atom_site_label
_atom_site_fract_x
_atom_site_fract_y
_atom_site_fract_z
Ba1 0.000 0.000 0.000
Li1 0.000 0.250 0.500
Zn1 0.000 0.500 0.250
```

| no. | D(E_F) (states/eV per cell) | volume (Å³ per atom) | total magnetic moment (μB/atom) |
| --- | --- | --- | --- |
| 1 | 2.9 | 20.5 | 0.4467 |
| 2 | 18.9 | 28.4 | 0.2804 |
| 3 | 11.9 | 25.2 | 0.0000 |